Entry 1:
Density functional theory data (PBE) for a geometry-optimized CeNd5N6 structure.

Unit cell a=6.2944 b=6.2945 c=6.2931 alpha=59.99 beta=80.40 gamma=70.52
Fractional positions:
Nd (0.5000, 0.1661, 0.6679)
Nd (0.0000, 0.3333, 0.3333)
Nd (0.5000, 0.5000, 0.0000)
Nd (0.0000, 0.6667, 0.6667)
Nd (0.5000, 0.8339, 0.3321)
Ce (0.0000, 0.0000, 0.0000)
N (0.7566, 0.0810, 0.3210)
N (0.2434, 0.5980, 0.3210)
N (0.2437, 0.2402, 0.0000)
N (0.7563, 0.7598, 0.0000)
N (0.7566, 0.4020, 0.6790)
N (0.2434, 0.9190, 0.6790)

Calculated values
The raw formation energy is -1.409 eV per atom. The calculation puts the spin magnetization at 0.0 μB per cell. The density of states at the Fermi level comes out at 2.5 states/eV/f.u. The electronic total energy comes out at -96.63 eV/f.u. The space group is C2/m, No. 12.

***

Entry 2:
Density functional theory data (PBE) for a geometry-optimized CeNd5N4 structure.

Unit cell a=3.6085 b=7.4603 c=8.1602 alpha=102.43 beta=102.77 gamma=90.00
Fractional positions:
Ce (0.5000, 0.0000, 0.0000)
Nd (0.1583, 0.3066, 0.3167)
Nd (0.1643, 0.8487, 0.3286)
Nd (0.8357, 0.1513, 0.6714)
Nd (0.5000, 0.5000, 0.0000)
Nd (0.8417, 0.6934, 0.6833)
N (0.6636, 0.0804, 0.3273)
N (0.0010, 0.2388, 0.0020)
N (0.3364, 0.9196, 0.6727)
N (0.9990, 0.7612, 0.9980)

Calculated values
The raw formation energy is -1.094 eV per atom. The calculation puts the spin magnetization at 0.0 μB per cell. The density of states at the Fermi level comes out at 7.6 states/eV/f.u. The electronic total energy comes out at -74.01 eV/f.u. The space group is C2/m, No. 12.

***

Entry 3:
Density functional theory data (PBE) for a geometry-optimized Ce3NdN4 structure.

Unit cell a=3.5889 b=6.2162 c=6.2162 alpha=109.46 beta=90.00 gamma=90.00
Last column: magnetic moment on the atom in μB.
Fractional positions:
Nd (0.5000, 0.0000, 0.0000)  0.03
Ce (0.0000, 0.0000, 0.5000)  0.31
Ce (0.5000, 0.5000, 0.5000)  0.14
Ce (0.0000, 0.5000, 0.0000)  0.31
N (0.0000, 0.2609, 0.2609)  -0.01
N (0.5000, 0.7453, 0.2547)  -0.02
N (0.0000, 0.7391, 0.7391)  -0.01
N (0.5000, 0.2547, 0.7453)  -0.02

Calculated values
The raw formation energy is -1.472 eV per atom. The calculation puts the spin magnetization at 0.9 μB per cell. The density of states at the Fermi level comes out at 7.6 states/eV/f.u. The calculation puts the relative energy among the computed polymorphs at 0 meV per atom. The electronic total energy comes out at -67.65 eV/f.u. The space group is Cmmm, No. 65.

***

The lowest electronic total energy belongs to which entry?
CeNd5N6

***

What did the second record say?
Density functional theory data (PBE) for a geometry-optimized CeNd5N4 structure.

Unit cell a=3.6085 b=7.4603 c=8.1602 alpha=102.43 beta=102.77 gamma=90.00
Fractional positions:
Ce (0.5000, 0.0000, 0.0000)
Nd (0.1583, 0.3066, 0.3167)
Nd (0.1643, 0.8487, 0.3286)
Nd (0.8357, 0.1513, 0.6714)
Nd (0.5000, 0.5000, 0.0000)
Nd (0.8417, 0.6934, 0.6833)
N (0.6636, 0.0804, 0.3273)
N (0.0010, 0.2388, 0.0020)
N (0.3364, 0.9196, 0.6727)
N (0.9990, 0.7612, 0.9980)

Calculated values
The raw formation energy is -1.094 eV per atom. The calculation puts the spin magnetization at 0.0 μB per cell. The density of states at the Fermi level comes out at 7.6 states/eV/f.u. The electronic total energy comes out at -74.01 eV/f.u. The space group is C2/m, No. 12.